[1]
Compound: Li7AgPt3
Source: Alexandria via LeMat-Bulk
Functional: GGA-PBE
Structure: optimized geometry

The structure in extended XYZ format:
```
22
Lattice="1.3686 -10.5912 0.0000 1.3686 10.5912 0.0000 0.0000 0.0000 12.0038" Properties=species:S:1:pos:R:3 pbc="T T T"
Li 1.3686 9.3286 7.5446
Li 1.3686 9.3286 10.4611
Li 1.3686 8.4683 1.1742
Li 1.3686 8.4683 4.8278
Li 1.3686 6.5279 9.0029
Li 1.3686 5.8841 1.1138
Li 1.3686 5.8841 4.8882
Li 1.3686 -5.8841 7.1157
Li 1.3686 -5.8841 10.8901
Li 1.3686 -6.5279 3.0010
Li 1.3686 -8.4683 7.1761
Li 1.3686 -8.4683 10.8297
Li 1.3686 -9.3286 1.5427
Li 1.3686 -9.3286 4.4592
Ag 1.3686 0.6063 9.0029
Ag 1.3686 -0.6063 3.0010
Pt 1.3686 3.5289 9.0029
Pt 1.3686 3.3320 0.7681
Pt 1.3686 3.3320 5.2338
Pt 1.3686 -3.3320 6.7700
Pt 1.3686 -3.3320 11.2357
Pt 1.3686 -3.5289 3.0010
```

Calculated values
The value obtained for the formation energy is -0.419 eV/atom. The raw total energy is -3.5436 eV/atom.


[2]
Compound: OsCBr2
Source: Alexandria via LeMat-Bulk
Functional: GGA-PBE
Structure: optimized geometry

The structure in extended XYZ format:
```
4
Lattice="1.5823 0.9136 7.9810 -1.5823 0.9136 7.9810 0.0000 -1.8271 7.9810" Properties=species:S:1:pos:R:3 pbc="T T T"
Os 0.0000 0.0000 0.0000
C 0.0000 0.0000 11.9715
Br 0.0000 0.0000 2.3967
Br 0.0000 0.0000 21.5462
```

Calculated values
The formation energy without anion corrections comes out at 2.06 eV/atom. The raw total energy is -3.8868 eV/atom. The calculation puts the energy above the most stable polymorph in this dataset at 0.0000 eV per atom.


[3]
Compound: Er3ThSc2Se6
Source: Alexandria via LeMat-Bulk
Functional: GGA-PBE
Structure: optimized geometry

The structure in extended XYZ format:
```
12
Lattice="8.7233 -1.9971 0.0000 8.7233 1.9971 0.0000 -1.6957 0.0000 7.9324" Properties=species:S:1:pos:R:3 pbc="T T T"
Er 0.0000 0.0000 0.0000
Er 4.8283 0.0000 5.2858
Er 10.9226 0.0000 2.6465
Th -0.8478 0.0000 3.9662
Sc 5.5876 0.0000 1.3596
Sc 10.1633 0.0000 6.5727
Se 2.8503 0.0000 0.6232
Se 2.0401 0.0000 4.7352
Se 8.2285 0.0000 1.8493
Se 7.5224 0.0000 6.0830
Se 13.7108 0.0000 3.1971
Se 12.9006 0.0000 7.3091
```

Calculated values
The formation energy without anion corrections comes out at -1.61 eV/atom. The raw total energy is -6.1685 eV/atom.


[4]
Compound: KHgAu2
Source: Alexandria via LeMat-Bulk
Functional: GGA-PBE
Structure: optimized geometry

The structure in extended XYZ format:
```
4
Lattice="0.0000 3.6500 3.6500 3.6500 0.0000 3.6500 3.6500 3.6500 0.0000" Properties=species:S:1:pos:R:3 pbc="T T T"
K 0.0000 0.0000 0.0000
Hg 5.4749 5.4749 5.4749
Au 1.8250 1.8250 1.8250
Au 3.6500 3.6500 3.6500
```

Calculated values
The value obtained for the formation energy is -0.021 eV/atom. The raw total energy is -2.0091 eV/atom.


[5]
Compound: In2FeAg
Source: Alexandria via LeMat-Bulk
Functional: GGA-PBE
Structure: optimized geometry

The structure in extended XYZ format:
```
4
Lattice="0.0000 3.3806 3.3806 3.3806 0.0000 3.3806 3.3806 3.3806 0.0000" Properties=species:S:1:pos:R:3 pbc="T T T"
In 0.0000 0.0000 0.0000
In 1.6903 1.6903 1.6903
Fe 5.0709 5.0709 5.0709
Ag 3.3806 3.3806 3.3806
```

Calculated values
The value obtained for the formation energy is 0.429 eV/atom. The raw total energy is -3.7689 eV/atom. The calculation puts the energy above the most stable polymorph in this dataset at 0.2244 eV per atom.


[6]
Compound: AlSbMo2
Source: Alexandria via LeMat-Bulk
Functional: GGA-PBE
Structure: optimized geometry

The structure in extended XYZ format:
```
4
Lattice="2.8829 -4.2995 0.0000 2.8829 4.2995 0.0000 -1.0643 0.0000 2.7858" Properties=species:S:1:pos:R:3 pbc="T T T"
Al 0.0000 0.0000 0.0000
Sb 2.8829 0.0000 0.0000
Mo 0.9093 2.1497 1.3929
Mo 0.9093 -2.1497 1.3929
```

Calculated values
The formation energy without anion corrections comes out at 0.29 eV/atom. The raw total energy is -7.0958 eV/atom. The calculation puts the energy above the most stable polymorph in this dataset at 0.3408 eV per atom.


[7]
Compound: TcMoRh2
Source: Alexandria via LeMat-Bulk
Functional: GGA-PBE
Structure: optimized geometry

The structure in extended XYZ format:
```
4
Lattice="3.8462 0.0000 0.0000 0.0000 3.8462 0.0000 0.0000 0.0000 3.9328" Properties=species:S:1:pos:R:3 pbc="T T T"
Tc 0.0000 0.0000 0.0000
Mo 1.9231 1.9231 0.0000
Rh 0.0000 1.9231 1.9664
Rh 1.9231 0.0000 1.9664
```

Calculated values
The value obtained for the formation energy is -0.156 eV/atom. The raw total energy is -9.1310 eV/atom. The calculation puts the energy above the most stable polymorph in this dataset at 0.0532 eV per atom.


[8]
Compound: CsCd2NiAu
Source: Alexandria via LeMat-Bulk
Functional: GGA-PBE
Structure: optimized geometry

The structure in extended XYZ format:
```
5
Lattice="5.1786 0.0000 0.0000 0.0000 5.1786 0.0000 0.0000 0.0000 5.2252" Properties=species:S:1:pos:R:3 pbc="T T T"
Cs 0.0000 0.0000 0.0000
Cd 0.0000 2.5893 2.6126
Cd 2.5893 0.0000 2.6126
Ni 2.5893 2.5893 2.6126
Au 2.5893 2.5893 0.0000
```

Calculated values
The value obtained for the formation energy is 0.031 eV/atom. The raw total energy is -2.3178 eV/atom.